# La2GeN, relaxed, DFT GGA-PBE
# - Fermi-level density of states (states/eV per cell) = 2.629
data_La2GeN
_cell_length_a 4.901
_cell_length_b 6.180
_cell_length_c 7.438
_cell_angle_alpha 96.19
_cell_angle_beta 109.22
_cell_angle_gamma 90.00
_space_group_name_H-M_alt 'P 1'
_space_group_IT_number 1
_space_group_name_Hall 'P 1'
loop_
_atom_site_label
_atom_site_type_symbol
_atom_site_fract_x
_atom_site_fract_y
_atom_site_fract_z
La1 La 0.046 0.582 0.243
La2 La 0.256 0.160 0.664
La3 La 0.470 0.082 0.243
La4 La 0.680 0.660 0.664
N1 N 0.334 0.871 0.454
N2 N 0.392 0.371 0.454
Ge1 Ge 0.363 0.621 0.954
Ge2 Ge 0.863 0.121 0.954

# La3Ge5N12, relaxed, DFT GGA-PBE
# - Fermi-level density of states (states/eV per cell) = 48.566
data_La3Ge5N12
_cell_length_a 11.135
_cell_length_b 11.135
_cell_length_c 11.135
_cell_angle_alpha 109.47
_cell_angle_beta 109.47
_cell_angle_gamma 109.47
_space_group_name_H-M_alt 'P 1'
_space_group_IT_number 1
_space_group_name_Hall 'P 1'
loop_
_atom_site_label
_atom_site_type_symbol
_atom_site_fract_x
_atom_site_fract_y
_atom_site_fract_z
Ge1 Ge 0.125 0.375 0.250
Ge2 Ge 0.000 0.500 0.000
Ge3 Ge 0.500 0.000 0.500
Ge4 Ge 0.250 0.875 0.125
Ge5 Ge 0.500 0.000 0.000
Ge6 Ge 0.500 0.500 0.000
Ge7 Ge 0.750 0.625 0.375
Ge8 Ge 0.000 0.500 0.500
Ge9 Ge 0.250 0.375 0.625
Ge10 Ge 0.375 0.250 0.125
Ge11 Ge 0.000 0.000 0.000
Ge12 Ge 0.875 0.625 0.750
Ge13 Ge 0.125 0.750 0.375
Ge14 Ge 0.000 0.000 0.500
Ge15 Ge 0.625 0.750 0.875
Ge16 Ge 0.375 0.125 0.750
Ge17 Ge 0.625 0.875 0.250
Ge18 Ge 0.875 0.250 0.625
Ge19 Ge 0.500 0.500 0.500
Ge20 Ge 0.750 0.125 0.875
La1 La 0.125 0.250 0.875
La2 La 0.375 0.750 0.625
La3 La 0.875 0.750 0.125
La4 La 0.625 0.375 0.750
La5 La 0.375 0.625 0.250
La6 La 0.625 0.250 0.375
La7 La 0.875 0.125 0.250
La8 La 0.750 0.875 0.625
La9 La 0.750 0.375 0.125
La10 La 0.250 0.125 0.375
La11 La 0.250 0.625 0.875
La12 La 0.125 0.875 0.750
N1 N 0.485 0.805 0.886
N2 N 0.401 0.386 0.581
N3 N 0.015 0.614 0.695
N4 N 0.886 0.305 0.485
N5 N 0.985 0.599 0.180
N6 N 0.581 0.695 0.680
N7 N 0.919 0.099 0.614
N8 N 0.081 0.180 0.195
N9 N 0.805 0.485 0.386
N10 N 0.515 0.320 0.901
N11 N 0.195 0.680 0.081
N12 N 0.599 0.985 0.680
N13 N 0.320 0.515 0.401
N14 N 0.901 0.820 0.515
N15 N 0.015 0.401 0.820
N16 N 0.180 0.081 0.695
N17 N 0.386 0.985 0.805
N18 N 0.599 0.614 0.419
N19 N 0.695 0.114 0.015
N20 N 0.919 0.820 0.805
N21 N 0.401 0.015 0.320
N22 N 0.805 0.320 0.919
N23 N 0.114 0.695 0.515
N24 N 0.195 0.515 0.614
N25 N 0.680 0.485 0.599
N26 N 0.515 0.195 0.114
N27 N 0.695 0.581 0.180
N28 N 0.320 0.805 0.419
N29 N 0.305 0.886 0.985
N30 N 0.081 0.901 0.386
N31 N 0.680 0.195 0.581
N32 N 0.419 0.114 0.599
N33 N 0.180 0.099 0.985
N34 N 0.886 0.581 0.901
N35 N 0.099 0.919 0.114
N36 N 0.419 0.305 0.320
N37 N 0.581 0.886 0.401
N38 N 0.305 0.419 0.820
N39 N 0.114 0.419 0.099
N40 N 0.614 0.599 0.919
N41 N 0.386 0.401 0.081
N42 N 0.901 0.081 0.886
N43 N 0.820 0.919 0.305
N44 N 0.614 0.015 0.195
N45 N 0.985 0.386 0.305
N46 N 0.099 0.180 0.485
N47 N 0.485 0.680 0.099
N48 N 0.820 0.901 0.015

# La2GeN, relaxed, DFT GGA-PBE
# - Fermi-level density of states (states/eV per cell) = 3.154
data_La2GeN
_cell_length_a 5.016
_cell_length_b 5.016
_cell_length_c 5.016
_cell_angle_alpha 60.00
_cell_angle_beta 60.00
_cell_angle_gamma 60.00
_space_group_name_H-M_alt 'P 1'
_space_group_IT_number 1
_space_group_name_Hall 'P 1'
loop_
_atom_site_label
_atom_site_type_symbol
_atom_site_fract_x
_atom_site_fract_y
_atom_site_fract_z
Ge1 Ge 0.500 0.500 0.500
N1 N 0.000 0.000 0.000
La1 La 0.250 0.250 0.250
La2 La 0.750 0.750 0.750

# La4Ge2N, relaxed, DFT GGA-PBE
# - E above lowest polymorph (eV/f.u.) = 2.42
# - Fermi-level density of states (states/eV per cell) = 7.982
data_La4Ge2N
_cell_length_a 4.830
_cell_length_b 4.830
_cell_length_c 9.105
_cell_angle_alpha 74.62
_cell_angle_beta 74.62
_cell_angle_gamma 90.00
_space_group_name_H-M_alt 'P 1'
_space_group_IT_number 1
_space_group_name_Hall 'P 1'
loop_
_atom_site_label
_atom_site_type_symbol
_atom_site_fract_x
_atom_site_fract_y
_atom_site_fract_z
Ge1 Ge 0.861 0.861 0.278
Ge2 Ge 0.139 0.139 0.722
La1 La 0.500 0.000 0.000
La2 La 0.000 0.500 0.000
La3 La 0.680 0.680 0.640
La4 La 0.320 0.320 0.360
N1 N 0.000 0.000 0.000

# LaGeN3, relaxed, DFT GGA-PBE
# - Fermi-level density of states (states/eV per cell) = 3.204
data_LaGeN3
_cell_length_a 3.902
_cell_length_b 3.902
_cell_length_c 3.902
_cell_angle_alpha 90.00
_cell_angle_beta 90.00
_cell_angle_gamma 90.00
_space_group_name_H-M_alt 'P 1'
_space_group_IT_number 1
_space_group_name_Hall 'P 1'
loop_
_atom_site_label
_atom_site_type_symbol
_atom_site_fract_x
_atom_site_fract_y
_atom_site_fract_z
N1 N 0.000 0.000 0.500
N2 N 0.500 0.000 0.000
N3 N 0.000 0.500 0.000
La1 La 0.500 0.500 0.500
Ge1 Ge 0.000 0.000 0.000

# LaGe3N, relaxed, DFT GGA-PBE
# - E above lowest polymorph (eV/f.u.) = 8.55
# - Fermi-level density of states (states/eV per cell) = 4.576
data_LaGe3N
_cell_length_a 5.780
_cell_length_b 5.780
_cell_length_c 5.780
_cell_angle_alpha 90.00
_cell_angle_beta 90.00
_cell_angle_gamma 90.00
_space_group_name_H-M_alt 'P 1'
_space_group_IT_number 1
_space_group_name_Hall 'P 1'
loop_
_atom_site_label
_atom_site_type_symbol
_atom_site_fract_x
_atom_site_fract_y
_atom_site_fract_z
N1 N 0.500 0.500 0.500
Ge1 Ge 0.000 0.000 0.500
Ge2 Ge 0.500 0.000 0.000
Ge3 Ge 0.000 0.500 0.000
La1 La 0.000 0.000 0.000

# La6Ge3N, relaxed, DFT GGA-PBE
# - Fermi-level density of states (states/eV per cell) = 14.258
data_La6Ge3N
_cell_length_a 8.546
_cell_length_b 8.546
_cell_length_c 8.546
_cell_angle_alpha 97.04
_cell_angle_beta 97.04
_cell_angle_gamma 97.04
_space_group_name_H-M_alt 'P 1'
_space_group_IT_number 1
_space_group_name_Hall 'P 1'
loop_
_atom_site_label
_atom_site_type_symbol
_atom_site_fract_x
_atom_site_fract_y
_atom_site_fract_z
La1 La 0.033 0.924 0.699
La2 La 0.301 0.967 0.076
La3 La 0.076 0.301 0.967
La4 La 0.699 0.033 0.924
La5 La 0.568 0.791 0.443
La6 La 0.791 0.443 0.568
La7 La 0.967 0.076 0.301
La8 La 0.209 0.557 0.432
La9 La 0.924 0.699 0.033
La10 La 0.432 0.209 0.557
La11 La 0.443 0.568 0.791
La12 La 0.557 0.432 0.209
Ge1 Ge 0.282 0.616 0.108
Ge2 Ge 0.718 0.384 0.892
Ge3 Ge 0.108 0.282 0.616
Ge4 Ge 0.892 0.718 0.384
Ge5 Ge 0.384 0.892 0.718
Ge6 Ge 0.616 0.108 0.282
N1 N 0.000 0.000 0.000
N2 N 0.500 0.500 0.500

# La5Ge2N, relaxed, DFT GGA-PBE
# - Fermi-level density of states (states/eV per cell) = 13.688
data_La5Ge2N
_cell_length_a 5.967
_cell_length_b 6.965
_cell_length_c 13.467
_cell_angle_alpha 90.00
_cell_angle_beta 90.00
_cell_angle_gamma 115.36
_space_group_name_H-M_alt 'P 1'
_space_group_IT_number 1
_space_group_name_Hall 'P 1'
loop_
_atom_site_label
_atom_site_type_symbol
_atom_site_fract_x
_atom_site_fract_y
_atom_site_fract_z
Ge1 Ge 0.178 0.356 0.931
Ge2 Ge 0.178 0.356 0.569
Ge3 Ge 0.822 0.644 0.069
Ge4 Ge 0.822 0.644 0.431
La1 La 0.057 0.114 0.128
La2 La 0.664 0.329 0.607
La3 La 0.306 0.612 0.750
La4 La 0.664 0.329 0.893
La5 La 0.694 0.388 0.250
La6 La 0.943 0.886 0.628
La7 La 0.336 0.671 0.107
La8 La 0.336 0.671 0.393
La9 La 0.943 0.886 0.872
La10 La 0.057 0.114 0.372
N1 N 0.794 0.587 0.750
N2 N 0.206 0.413 0.250

# La4GeN, relaxed, DFT GGA-PBE
# - E above lowest polymorph (eV/f.u.) = 0.06
# - Fermi-level density of states (states/eV per cell) = 11.641
data_La4GeN
_cell_length_a 6.346
_cell_length_b 7.512
_cell_length_c 7.852
_cell_angle_alpha 107.09
_cell_angle_beta 113.85
_cell_angle_gamma 90.03
_space_group_name_H-M_alt 'P 1'
_space_group_IT_number 1
_space_group_name_Hall 'P 1'
loop_
_atom_site_label
_atom_site_type_symbol
_atom_site_fract_x
_atom_site_fract_y
_atom_site_fract_z
La1 La 0.480 0.035 0.806
La2 La 0.760 0.333 0.652
La3 La 0.326 0.535 0.806
La4 La 0.892 0.833 0.652
La5 La 0.520 0.965 0.194
La6 La 0.108 0.167 0.348
La7 La 0.240 0.667 0.348
La8 La 0.674 0.465 0.194
Ge1 Ge 0.848 0.750 0.000
Ge2 Ge 0.152 0.250 0.000
N1 N 0.500 0.000 0.500
N2 N 0.000 0.500 0.500

# La3Ge2N, relaxed, DFT GGA-PBE
# - Fermi-level density of states (states/eV per cell) = 9.662
data_La3Ge2N
_cell_length_a 3.760
_cell_length_b 6.117
_cell_length_c 13.536
_cell_angle_alpha 90.00
_cell_angle_beta 90.00
_cell_angle_gamma 90.00
_space_group_name_H-M_alt 'P 1'
_space_group_IT_number 1
_space_group_name_Hall 'P 1'
loop_
_atom_site_label
_atom_site_type_symbol
_atom_site_fract_x
_atom_site_fract_y
_atom_site_fract_z
La1 La 0.000 0.000 0.368
La2 La 0.000 0.000 0.000
La3 La 0.500 0.500 0.132
La4 La 0.000 0.000 0.632
La5 La 0.500 0.500 0.868
La6 La 0.500 0.500 0.500
Ge1 Ge 0.000 0.500 0.324
Ge2 Ge 0.500 0.000 0.176
Ge3 Ge 0.000 0.500 0.676
Ge4 Ge 0.500 0.000 0.824
N1 N 0.500 0.000 0.500
N2 N 0.000 0.500 0.000

no.,calculated density (Mg/m³),formation energy from raw total energies (eV per atom),total DFT energy (no corrections) (eV per formula unit)
1,5.73,-0.93,-26.5
2,5.92,0.07,-136.3
3,6.78,-0.18,-23.5
4,6.03,-0.56,-41.2
5,7.09,-0.05,-34.8
6,3.19,1.88,-17.7
7,5.81,-0.72,-58.9
8,5.61,-0.60,-47.0
9,6.58,-0.66,-36.6
10,6.14,-0.77,-36.9